3
Lattice="0.000 3.494 3.494 3.494 0.000 3.494 3.494 3.494 0.000" Properties=species:S:1:pos:R:3 comment="NdTmGe (GGA-PBE, optimized geometry)" energy_ev_per_atom=-5.129 magnetic_moment_mub_per_cell=0.0 vol_a3_per_fu=85.33 formation_energy_mev_per_atom=-510 pbc="T T T"
Nd 0.000 0.000 0.000
Tm 3.494 3.494 3.494
Ge 1.747 1.747 1.747



5
Lattice="4.281 0.000 0.000 0.000 4.281 0.000 0.000 0.000 4.225" Properties=species:S:1:pos:R:3 comment="CdSbHPd2 (GGA-PBE, optimized geometry)" energy_ev_per_atom=-3.828 magnetic_moment_mub_per_cell=0.0 vol_a3_per_fu=77.44 pbc="T T T"
Cd 0.000 0.000 0.000
Sb 2.141 2.141 0.000
H 0.000 0.000 2.112
Pd 0.000 2.141 2.112
Pd 2.141 0.000 2.112